1.
This record from the Alexandria database describes a relaxed Na2BeF4 crystal. The functional is PBE.

For the energy above the most stable polymorph in this dataset, the calculation gives 3 meV per atom. The total DFT energy (no corrections) comes out at -5.006 eV/atom. The uncorrected formation energy comes out at -3028 meV/atom.

Structure (POSCAR):
```
Na2BeF4
1.0
-3.219 -7.409 -0.337
5.138 -2.208 -0.535
4.455 -2.274 7.445
Na F Be
8 16 4
Cartesian
2.680 -4.311 2.458
0.861 -7.836 0.329
-0.220 -4.231 0.772
3.694 -7.580 4.115
6.594 -7.661 5.801
3.529 -1.865 4.653
5.513 -4.055 6.244
2.845 -10.026 1.919
1.930 -6.043 4.169
4.444 -5.849 2.404
-1.467 -7.598 0.324
1.004 -5.877 1.800
2.904 -7.365 -0.603
5.370 -6.015 4.773
1.933 -3.647 0.121
4.777 -9.319 3.082
1.597 -2.572 3.491
2.313 -9.128 5.427
3.470 -4.526 7.176
4.441 -8.245 6.452
4.595 -3.783 3.889
1.779 -8.108 2.684
7.841 -4.293 6.249
4.061 -2.764 1.146
3.421 -3.214 -0.190
2.953 -8.677 6.763
1.068 -6.752 3.077
5.306 -5.139 3.496
```

***

2.
This record from the Alexandria database describes a relaxed Be2CrAg crystal. The functional is PBE.

For the energy above the most stable polymorph in this dataset, the calculation gives 58 meV per atom. The total DFT energy (no corrections) comes out at -4.712 eV/atom.

Structure (POSCAR):
```
Be2CrAg
1.0
-2.037 -1.231 1.379
2.261 0.019 3.356
-1.511 3.619 0.997
Be Ag Cr
2 1 1
Cartesian
0.000 0.000 0.000
0.375 1.819 2.177
-1.774 1.194 1.188
0.112 -0.606 2.368
```

***

3.
This record from the Alexandria database describes a relaxed LiNb4Ge3 crystal. The functional is PBE.

The total DFT energy (no corrections) comes out at -7.451 eV/atom.

Structure (POSCAR):
```
LiNb4Ge3
1.0
4.729 0.000 1.675
2.364 7.240 0.837
-0.053 0.000 7.662
Nb Li Ge
8 2 6
Cartesian
0.673 0.979 5.612
5.402 6.261 7.286
4.402 5.065 2.597
2.638 2.175 7.577
6.367 6.261 4.562
1.638 0.979 2.887
2.638 5.065 7.577
4.402 2.175 2.597
4.702 3.620 5.505
2.338 3.620 4.668
3.546 0.000 1.256
1.915 3.620 2.106
5.125 3.620 8.068
1.182 0.000 0.419
3.520 5.894 5.087
3.520 1.346 5.087
```

***

4.
This record from the Alexandria database describes a relaxed Ga3AgAu7 crystal. The functional is PBE.

The total DFT energy (no corrections) comes out at -3.225 eV/atom.

Structure (POSCAR):
```
Ga3AgAu7
1.0
5.588 -0.541 -0.693
-3.258 6.526 0.547
-3.258 -1.051 6.463
Ga Ag Au
3 1 7
Cartesian
-3.258 0.705 5.092
-3.258 4.769 1.919
2.794 -0.271 -0.347
-0.464 2.466 3.159
-0.276 3.619 0.464
-0.651 5.360 2.694
-0.276 -0.427 3.623
-1.514 4.111 5.265
-3.258 2.737 3.505
0.587 0.822 1.052
-0.651 1.314 5.854
```

***

What did the second record say?
This record from the Alexandria database describes a relaxed Be2CrAg crystal. The functional is PBE.

For the energy above the most stable polymorph in this dataset, the calculation gives 58 meV per atom. The total DFT energy (no corrections) comes out at -4.712 eV/atom.

Structure (POSCAR):
```
Be2CrAg
1.0
-2.037 -1.231 1.379
2.261 0.019 3.356
-1.511 3.619 0.997
Be Ag Cr
2 1 1
Cartesian
0.000 0.000 0.000
0.375 1.819 2.177
-1.774 1.194 1.188
0.112 -0.606 2.368
```

***

Among the records above, which one has the highest total DFT energy (no corrections)?
Ga3AgAu7

***

Look up the total DFT energy (no corrections) of the first one.
-5.006 eV/atom

***

Which of these has the lowest total DFT energy (no corrections)?
LiNb4Ge3